A PBEsol-optimized structure of Al2CuAg, computed with meta-GGA SCAN.

Geometry as POSCAR:
```
Al2CuAg
1.0
2.852 0.000 0.000
0.000 4.499 0.000
0.000 0.000 4.564
Al Cu Ag
2 1 1
direct
0.000 0.000 0.000
0.500 0.500 0.194
0.000 0.500 0.715
0.500 0.000 0.506
```

- symmetry = Pmm2, No. 25
- energy of formation (eV/f.u.) = -0.518

A PBEsol-optimized structure of Al2CuAg, computed with meta-GGA SCAN.

Geometry as POSCAR:
```
Al2CuAg
1.0
2.789 0.000 0.000
0.000 2.789 0.000
0.000 0.000 7.517
Al Cu Ag
2 1 1
direct
0.000 0.000 0.223
0.000 0.000 0.777
0.500 0.500 0.000
0.500 0.500 0.500
```

- symmetry = P4/mmm, No. 123
- energy of formation (eV/f.u.) = -0.554

A PBEsol-optimized structure of AlCuAg2, computed with meta-GGA SCAN.

Geometry as POSCAR:
```
AlCuAg2
1.0
-1.956 1.956 3.869
1.956 -1.956 3.869
1.956 1.956 -3.869
Al Cu Ag
1 1 2
direct
0.000 0.000 0.000
0.500 0.500 0.000
0.250 0.750 0.500
0.750 0.250 0.500
```

- symmetry = I4/mmm, No. 139
- energy of formation (eV/f.u.) = -0.289

A PBEsol-optimized structure of Al2CuAg, computed with meta-GGA SCAN.

Geometry as POSCAR:
```
Al2CuAg
1.0
2.732 -3.579 0.000
2.732 3.579 0.000
0.000 0.000 3.012
Al Cu Ag
2 1 1
direct
0.000 0.500 0.000
0.500 0.000 0.000
0.000 0.000 0.500
0.500 0.500 0.500
```

- symmetry = Cmmm, No. 65
- energy of formation (eV/f.u.) = -0.368

A PBEsol-optimized structure of AlCuAg, computed with meta-GGA SCAN.

Geometry as POSCAR:
```
AlCuAg
1.0
0.000 2.914 2.914
2.914 0.000 2.914
2.914 2.914 0.000
Al Cu Ag
1 1 1
direct
0.000 0.000 0.000
0.250 0.250 0.250
0.500 0.500 0.500
```

- symmetry = F-43m, No. 216
- energy of formation (eV/f.u.) = 0.216

A PBEsol-optimized structure of AlCuAg2, computed with meta-GGA SCAN.

Geometry as POSCAR:
```
AlCuAg2
1.0
1.448 -2.371 0.000
1.448 2.371 0.000
0.000 0.000 8.888
Al Cu Ag
1 1 2
direct
0.000 0.000 0.000
0.000 0.000 0.500
0.500 0.500 0.255
0.500 0.500 0.745
```

- symmetry = Cmmm, No. 65
- energy of formation (eV/f.u.) = 0.328

A PBEsol-optimized structure of Al2CuAg, computed with meta-GGA SCAN.

Geometry as POSCAR:
```
Al2CuAg
1.0
3.299 0.000 0.000
0.000 3.299 0.000
0.000 0.000 5.416
Al Cu Ag
2 1 1
direct
0.000 0.000 0.000
0.500 0.500 0.281
0.000 0.000 0.481
0.500 0.500 0.761
```

- symmetry = P4mm, No. 99
- energy of formation (eV/f.u.) = -0.547

A PBEsol-optimized structure of AlCu2Ag, computed with meta-GGA SCAN.

Geometry as POSCAR:
```
AlCu2Ag
1.0
3.040 0.000 0.000
0.000 3.040 0.000
0.000 0.000 5.810
Al Cu Ag
1 2 1
direct
0.000 0.000 0.000
0.000 0.000 0.446
0.500 0.500 0.230
0.500 0.500 0.719
```

- symmetry = P4mm, No. 99
- energy of formation (eV/f.u.) = -0.445